Entry 1:
VASP calculation (PBE) on a geometry-optimized SrCr2SnAs structure.

```
5
Lattice="-3.358 -3.098 3.055 -1.734 -2.896 -4.842 4.040 -3.652 0.737" Properties=species:S:1:pos:R:3 pbc="T T T"
Sr 0.000 0.000 0.000
As -0.526 -4.823 -0.525
Sn -0.867 -1.448 -2.421
Cr 2.020 -1.826 0.369
Cr -1.679 -1.549 1.528
```

Output
Space-group type: P4/mmm, No. 123
E_form (eV/f.u.): 9.52
Size of the total moment (μB per formula unit): 9.7
Raw total energy (eV per cell): -20.1

***

Entry 2:
VASP calculation (PBE) on a geometry-optimized KTiAs2 structure.

```
4
Lattice="3.869 0.000 0.000 1.934 3.350 0.000 1.934 1.117 7.634" Properties=species:S:1:pos:R:3 pbc="T T T"
K 3.869 2.234 3.860
Ti 5.803 3.350 7.609
As 1.934 1.117 6.284
As 1.934 1.117 1.331
```

Output
Space-group type: R3m, No. 160
Relative energy among the computed polymorphs (eV per atom): 0.0122
E_form (eV/f.u.): -2.03
Size of the total moment (μB per formula unit): 0.0
Raw total energy (eV per cell): -20.3

***

Entry 3:
VASP calculation (PBE) on a geometry-optimized CeY3Ni8 structure.

```
12
Lattice="-3.397 -3.786 0.116 -0.251 -3.312 -3.855 4.329 -7.225 2.567" Properties=species:S:1:pos:R:3 pbc="T T T"
Ce -1.551 -8.937 -2.296
Y 2.414 -8.978 0.840
Y -3.647 -7.099 -3.738
Y 0.337 -7.159 -0.588
Ni -2.487 -6.351 -1.098
Ni 1.258 -9.727 -1.800
Ni -0.787 -4.457 -1.156
Ni -0.445 -11.625 -1.741
Ni 1.206 -4.489 0.420
Ni 1.549 -11.652 -0.165
Ni -0.913 -6.114 -3.084
Ni -0.319 -9.965 0.191
```

Output
Space-group type: R3m, No. 160
E_form (eV/f.u.): -4.82
Size of the total moment (μB per formula unit): 0.2
Raw total energy (eV per cell): -76.4

***

Entry 4:
VASP calculation (PBE) on a geometry-optimized NaZrAl2 structure.

```
8
Lattice="7.556 0.000 0.000 0.000 7.556 0.000 3.778 3.778 3.049" Properties=species:S:1:pos:R:3 pbc="T T T"
Na 3.778 3.778 0.000
Na 3.778 7.556 1.524
Al 5.628 1.889 0.762
Al 1.928 5.667 0.762
Al 5.667 5.706 2.286
Al 9.444 9.405 2.286
Zr 0.000 0.000 0.000
Zr 7.556 3.778 1.524
```

Output
Space-group type: I-42d, No. 122
Relative energy among the computed polymorphs (eV per atom): 0.5550
E_form (eV/f.u.): 1.62
Size of the total moment (μB per formula unit): 0.0
Raw total energy (eV per cell): -31.5

***

Entry 5:
VASP calculation (PBE) on a geometry-optimized DyZn2Ag4 structure.

```
7
Lattice="-4.418 1.581 -2.498 -4.610 0.611 3.083 -0.989 5.486 -0.236" Properties=species:S:1:pos:R:3 pbc="T T T"
Dy -10.017 7.678 0.348
Zn -6.123 4.234 -0.462
Zn -3.894 3.444 0.810
Ag -5.870 1.491 0.125
Ag -4.147 6.187 0.223
Ag -3.692 4.423 -1.871
Ag -6.325 3.255 2.219
```

Output
Space-group type: C2/m, No. 12
E_form (eV/f.u.): -1.27
Size of the total moment (μB per formula unit): 0.0
Raw total energy (eV per cell): -19.8

***

Entry 6:
VASP calculation (PBE) on a geometry-optimized BaTiAu structure.

```
6
Lattice="-3.034 4.344 -0.300 -0.284 -3.526 -1.253 -5.476 -3.130 10.048" Properties=species:S:1:pos:R:3 pbc="T T T"
Au -2.217 1.645 -0.696
Au -3.438 -2.091 4.479
Ba -3.987 0.634 2.553
Ba -5.922 -0.473 6.104
Ti -5.676 -3.371 8.585
Ti -1.201 -0.813 0.371
```

Output
Space-group type: P4/mmm, No. 123
E_form (eV/f.u.): -0.10
Size of the total moment (μB per formula unit): 0.0
Raw total energy (eV per cell): -26.4

***

Entry 7:
VASP calculation (PBE) on a geometry-optimized La7Nd3Cd structure.

```
11
Lattice="6.546 0.369 -0.295 -0.274 7.874 0.273 0.481 0.550 7.849" Properties=species:S:1:pos:R:3 pbc="T T T"
La 1.375 2.104 1.896
La 1.858 7.365 4.407
La 4.637 3.942 0.821
La 2.117 4.852 7.006
La 0.104 4.212 4.061
La 4.896 1.429 3.421
La 5.378 6.690 5.931
Nd -0.149 6.661 1.529
Nd 3.273 0.185 -0.148
Nd 0.356 1.764 6.594
Cd 3.377 4.397 3.914
```

Output
Space-group type: C2/m, No. 12
E_form (eV/f.u.): 1.67
Size of the total moment (μB per formula unit): 0.0
Raw total energy (eV per cell): -48.0

***

Entry 8:
VASP calculation (PBE) on a geometry-optimized CaHgPb2 structure.

```
8
Lattice="4.646 0.000 0.000 0.000 4.646 0.000 2.323 2.323 11.602" Properties=species:S:1:pos:R:3 pbc="T T T"
Pb 3.516 1.161 2.900
Pb 1.130 3.484 2.900
Pb 3.484 3.453 8.701
Pb 5.807 5.838 8.701
Ca 2.323 2.323 0.000
Ca 2.323 4.646 5.801
Hg 0.000 0.000 0.000
Hg 4.646 2.323 5.801
```

Output
Space-group type: I-42d, No. 122
E_form (eV/f.u.): -0.72
Size of the total moment (μB per formula unit): 0.0
Raw total energy (eV per cell): -20.9

***

Entry 9:
VASP calculation (PBE) on a geometry-optimized Al4FeCu2 structure.

```
7
Lattice="3.893 0.000 -1.241 -0.396 3.873 -1.241 -0.049 -0.054 6.573" Properties=species:S:1:pos:R:3 pbc="T T T"
Al 1.121 3.397 3.516
Al 3.265 1.460 3.516
Al 2.327 0.422 0.575
Al 0.183 2.358 0.575
Cu 2.633 2.916 1.534
Cu 0.815 0.902 2.556
Fe 0.000 0.000 0.000
```

Output
Space-group type: I4/mmm, No. 139
E_form (eV/f.u.): -1.73
Size of the total moment (μB per formula unit): 0.0
Raw total energy (eV per cell): -33.4

***

Entry 10:
VASP calculation (PBE) on a geometry-optimized La4Se5 structure.

```
18
Lattice="-0.913 -2.302 -8.283 -0.080 -6.029 6.196 -7.896 0.777 0.654" Properties=species:S:1:pos:R:3 pbc="T T T"
Se -2.033 -4.302 4.784
Se -2.226 -1.923 -0.367
Se -2.655 -1.522 -6.014
Se -5.942 -0.950 2.066
Se -6.662 -5.631 -1.066
Se -6.154 -0.003 -1.615
Se -0.635 -3.544 -3.457
Se -4.305 -4.398 1.697
Se -0.357 -4.786 1.369
Se -4.583 -3.156 -3.130
La 0.000 0.000 0.000
La -3.948 0.388 0.327
La -2.007 -2.270 2.696
La -2.561 -4.731 -1.071
La -2.347 -0.747 -3.222
La -5.969 -2.982 4.154
La -6.328 -2.822 -0.362
La -6.462 -0.778 -4.407
```

Output
Space-group type: P6_3/mcm, No. 193
Relative energy among the computed polymorphs (eV per atom): 0.0000
Size of the total moment (μB per formula unit): 1.5
Raw total energy (eV per cell): -107.5
Formation energy from raw total energies (eV/f.u.): -16.61

***

Entry 11:
VASP calculation (PBE) on a geometry-optimized Th2TlI structure.

```
4
Lattice="3.734 0.000 0.000 0.000 3.734 0.000 0.000 0.000 8.463" Properties=species:S:1:pos:R:3 pbc="T T T"
I 1.867 1.867 0.000
Tl 1.867 1.867 4.231
Th 0.000 0.000 6.357
Th 0.000 0.000 2.105
```

Output
Space-group type: P4/mmm, No. 123
Size of the total moment (μB per formula unit): 0.0
Raw total energy (eV per cell): -19.9
Formation energy from raw total energies (eV/f.u.): -1.12

***

Q: Among the records above, which one has the highest size of the total moment?
A: SrCr2SnAs